Tl3Pt4 | GGA-PBE | optimized geometry

abc: 6.0943 6.0943 4.7853
angles: 90.00 90.00 120.00
Space group P6/mmm (No. 191)
Unique sites:
Tl 0.0000 0.5000 0.0000 (multiplicity 3)
Pt 0.0000 0.0000 0.2514 (multiplicity 2)
Pt 0.3333 0.6667 0.5000 (multiplicity 2)

Calculated values
* spin magnetization: 0.005 μB per formula unit
* electronic total energy: -26.7 eV/f.u.